--- A ---
First-principles (PBE) data for a geometry-optimized La3Nd7Dy structure, as listed in Alexandria via LeMat-Bulk.

## Properties
The density of states at the Fermi level is 16.78 states/eV/cell. The magnetization is 0.0 μB/cell. The space-group type is Immm (71).

abc: 8.686 8.686 8.686
angles: 139.42 97.37 96.44
Element x y z (fractional)
La 0.000 0.000 0.000
La 0.213 0.500 0.713
La 0.787 0.500 0.287
Nd 0.006 0.802 0.204
Nd 0.209 0.709 0.500
Nd 0.403 0.198 0.204
Nd 0.500 0.500 0.000
Nd 0.597 0.802 0.796
Nd 0.791 0.291 0.500
Nd 0.994 0.198 0.796
Dy 0.500 0.000 0.500


--- B ---
First-principles (PBE) data for a geometry-optimized La3Nd7Dy structure, as listed in Alexandria via LeMat-Bulk.

## Properties
The density of states at the Fermi level is 16.47 states/eV/cell. The magnetization is 0.0 μB/cell. The space-group type is C2/m (12).

abc: 7.889 7.889 6.567
angles: 93.26 93.26 82.03
Element x y z (fractional)
La 0.000 0.000 0.000
La 0.174 0.826 0.500
La 0.826 0.174 0.500
Nd 0.088 0.431 0.238
Nd 0.239 0.239 0.714
Nd 0.431 0.088 0.238
Nd 0.500 0.500 0.500
Nd 0.569 0.912 0.762
Nd 0.761 0.761 0.286
Nd 0.912 0.569 0.762
Dy 0.500 0.500 0.000


Winner for stability: B


--- A ---
First-principles (PBE) data for a geometry-optimized La2NdDy7 structure, as listed in Alexandria via LeMat-Bulk.

## Properties
The density of states at the Fermi level is 13.75 states/eV/cell. The magnetization is 0.0 μB/cell. The space-group type is P-1 (2).

abc: 6.205 7.186 8.076
angles: 76.97 75.03 73.83
Element x y z (fractional)
La 0.201 0.297 0.100
La 0.799 0.703 0.900
Nd 0.000 0.500 0.500
Dy 0.000 0.000 0.500
Dy 0.199 0.800 0.102
Dy 0.399 0.601 0.698
Dy 0.400 0.100 0.697
Dy 0.600 0.900 0.303
Dy 0.601 0.399 0.302
Dy 0.801 0.200 0.898


--- B ---
First-principles (PBE) data for a geometry-optimized La2NdDy7 structure, as listed in Alexandria via LeMat-Bulk.

## Properties
The density of states at the Fermi level is 18.48 states/eV/cell. The magnetization is 0.0 μB/cell. The space-group type is Cmmm (65).

abc: 14.936 14.936 3.516
angles: 90.00 90.00 154.46
Element x y z (fractional)
La 0.206 0.794 0.000
La 0.794 0.206 0.000
Nd 0.500 0.500 0.500
Dy 0.000 0.000 0.000
Dy 0.156 0.352 0.000
Dy 0.315 0.685 0.500
Dy 0.352 0.156 0.000
Dy 0.648 0.844 0.000
Dy 0.685 0.315 0.500
Dy 0.844 0.648 0.000


Winner for stability: A


--- A ---
First-principles (PBE) data for a geometry-optimized La4Nd2Dy structure, as listed in Alexandria via LeMat-Bulk.

## Properties
The density of states at the Fermi level is 19.07 states/eV/cell. The magnetization is 0.0 μB/cell. The space-group type is Imma (74).

abc: 9.217 9.217 9.217
angles: 135.49 101.00 95.52
Element x y z (fractional)
La 0.151 0.147 0.004
La 0.244 0.213 0.469
La 0.244 0.775 0.031
La 0.356 0.853 0.504
La 0.644 0.147 0.496
La 0.756 0.225 0.969
La 0.756 0.787 0.531
La 0.849 0.853 0.996
Nd 0.000 0.500 0.500
Nd 0.032 0.282 0.750
Nd 0.500 0.500 0.000
Nd 0.968 0.718 0.250
Dy 0.500 0.000 0.000
Dy 0.500 0.500 0.500


--- B ---
First-principles (PBE) data for a geometry-optimized La4Nd2Dy structure, as listed in Alexandria via LeMat-Bulk.

## Properties
The density of states at the Fermi level is 22.24 states/eV/cell. The magnetization is 0.0 μB/cell. The space-group type is P1 (1).

abc: 6.914 8.668 8.913
angles: 91.03 100.59 105.76
Element x y z (fractional)
La 0.000 0.000 0.000
La 0.026 0.191 0.677
La 0.182 0.491 0.437
La 0.511 0.120 0.860
La 0.604 0.838 0.554
La 0.688 0.427 0.560
La 0.870 0.731 0.281
La 0.964 0.456 0.979
Nd 0.285 0.082 0.402
Nd 0.369 0.791 0.143
Nd 0.483 0.584 0.842
Nd 0.777 0.153 0.277
Dy 0.104 0.783 0.697
Dy 0.439 0.382 0.160


Winner for stability: B


--- A ---
First-principles (PBE) data for a geometry-optimized LaNd8Dy2 structure, as listed in Alexandria via LeMat-Bulk.

## Properties
The density of states at the Fermi level is 16.65 states/eV/cell. The magnetization is 0.0 μB/cell. The space-group type is C2/m (12).

abc: 10.440 10.440 5.710
angles: 93.17 93.17 39.96
Element x y z (fractional)
La 0.000 0.000 0.000
Nd 0.135 0.597 0.268
Nd 0.188 0.188 0.232
Nd 0.403 0.865 0.732
Nd 0.455 0.455 0.760
Nd 0.545 0.545 0.240
Nd 0.597 0.135 0.268
Nd 0.812 0.812 0.768
Nd 0.865 0.403 0.732
Dy 0.285 0.285 0.746
Dy 0.715 0.715 0.254


--- B ---
First-principles (PBE) data for a geometry-optimized LaNd8Dy2 structure, as listed in Alexandria via LeMat-Bulk.

## Properties
The density of states at the Fermi level is 16.48 states/eV/cell. The magnetization is 0.0 μB/cell. The space-group type is Immm (71).

abc: 9.536 9.536 9.536
angles: 145.17 127.68 64.40
Element x y z (fractional)
La 0.000 0.000 0.000
Nd 0.156 0.860 0.296
Nd 0.162 0.662 0.500
Nd 0.295 0.500 0.795
Nd 0.436 0.140 0.296
Nd 0.564 0.860 0.704
Nd 0.705 0.500 0.205
Nd 0.838 0.338 0.500
Nd 0.844 0.140 0.704
Dy 0.300 0.300 0.000
Dy 0.700 0.700 0.000


Winner for stability: B


--- A ---
First-principles (PBE) data for a geometry-optimized La7Nd2Dy structure, as listed in Alexandria via LeMat-Bulk.

## Properties
The density of states at the Fermi level is 17.58 states/eV/cell. The magnetization is 0.2 μB/cell. The space-group type is Cmmm (65).

abc: 9.342 9.342 5.628
angles: 90.00 90.00 122.43
Element x y z (fractional)
La 0.000 0.000 0.000
La 0.200 0.426 0.000
La 0.260 0.740 0.500
La 0.426 0.200 0.000
La 0.574 0.800 0.000
La 0.740 0.260 0.500
La 0.800 0.574 0.000
Nd 0.201 0.799 0.000
Nd 0.799 0.201 0.000
Dy 0.500 0.500 0.500


--- B ---
First-principles (PBE) data for a geometry-optimized La7Nd2Dy structure, as listed in Alexandria via LeMat-Bulk.

## Properties
The density of states at the Fermi level is 19.27 states/eV/cell. The magnetization is 0.0 μB/cell. The space-group type is P2/m (10).

abc: 9.045 3.533 12.044
angles: 90.00 111.54 90.00
Element x y z (fractional)
La 0.000 0.000 0.000
La 0.191 0.000 0.307
La 0.223 0.000 0.809
La 0.392 0.500 0.112
La 0.608 0.500 0.888
La 0.777 0.000 0.191
La 0.809 0.000 0.693
Nd 0.396 0.000 0.602
Nd 0.604 0.000 0.398
Dy 0.000 0.500 0.500


Winner for stability: B